A plane-wave DFT calculation with PBE was carried out for a geometry-optimized K3Cu2O4 structure.

a b c (Å): 5.494 5.494 11.021
angles (deg): 90.00 90.00 111.69
Fractional coordinates of all 18 atoms:
K  0.653  0.347  0.569
K  0.347  0.653  0.431
K  0.653  0.347  0.931
K  0.347  0.653  0.069
K  0.302  0.698  0.750
K  0.698  0.302  0.250
Cu  0.000  0.000  0.500
Cu  0.000  0.000  0.000
Cu  0.938  0.062  0.750
Cu  0.062  0.938  0.250
O  0.858  0.733  0.383
O  0.733  0.858  0.617
O  0.858  0.733  0.117
O  0.733  0.858  0.883
O  0.142  0.267  0.617
O  0.267  0.142  0.383
O  0.142  0.267  0.883
O  0.267  0.142  0.117

Output
Formation energy without anion corrections in eV per atom: -1.060
Uncorrected energy in eV/atom: -4.54

=====

A plane-wave DFT calculation with PBE was carried out for a geometry-optimized Al4CoRh2 structure.

a b c (Å): 4.174 4.174 5.780
angles (deg): 90.00 90.00 90.00
Fractional coordinates of all 7 atoms:
Rh  0.000  0.000  0.000
Rh  0.500  0.500  0.500
Co  0.500  0.500  0.000
Al  0.500  0.000  0.253
Al  0.000  0.500  0.747
Al  0.500  0.000  0.747
Al  0.000  0.500  0.253

Output
Uncorrected energy in eV/atom: -6.04
Calculated formation energy in eV/atom: -0.782

=====

A plane-wave DFT calculation with PBE was carried out for a geometry-optimized VGaCuRe2 structure.

a b c (Å): 4.503 4.246 4.503
angles (deg): 90.00 90.00 90.00
Fractional coordinates of all 5 atoms:
Re  0.000  0.000  0.500
Re  0.500  0.000  0.000
Cu  0.000  0.000  0.000
Ga  0.500  0.500  0.500
V  0.000  0.500  0.000

Output
Uncorrected energy in eV/atom: -6.63
Calculated formation energy in eV/atom: 1.597

=====

A plane-wave DFT calculation with PBE was carried out for a geometry-optimized Pr2Nd2Er7 structure.

a b c (Å): 5.957 9.740 8.952
angles (deg): 77.30 70.59 48.16
Fractional coordinates of all 11 atoms:
Pr  0.870  0.775  0.750
Pr  0.130  0.225  0.250
Nd  0.622  0.773  0.252
Nd  0.378  0.227  0.748
Er  0.195  0.001  0.608
Er  0.672  0.560  0.000
Er  0.805  0.999  0.392
Er  0.328  0.440  0.000
Er  0.000  0.000  0.000
Er  0.691  0.500  0.617
Er  0.309  0.500  0.383

Output
Uncorrected energy in eV/atom: -4.48
Calculated formation energy in eV/atom: 0.157

=====

A plane-wave DFT calculation with PBE was carried out for a geometry-optimized BeCrSb structure.

a b c (Å): 4.157 4.157 4.157
angles (deg): 60.00 60.00 60.00
Fractional coordinates of all 3 atoms:
Sb  0.500  0.500  0.500
Be  0.750  0.750  0.750
Cr  0.000  0.000  0.000

Output
Formation energy without anion corrections in eV per atom: 0.371
Uncorrected energy in eV/atom: -5.45

=====

A plane-wave DFT calculation with PBE was carried out for a geometry-optimized BaMn4Ru structure.

a b c (Å): 5.169 5.169 5.169
angles (deg): 60.00 60.00 60.00
Fractional coordinates of all 6 atoms:
Ba  0.000  0.000  0.000
Mn  0.865  0.378  0.378
Mn  0.378  0.378  0.865
Mn  0.378  0.865  0.378
Mn  0.378  0.378  0.378
Ru  0.750  0.750  0.750

Output
Uncorrected energy in eV/atom: -7.10
Calculated formation energy in eV/atom: 0.875

=====

A plane-wave DFT calculation with PBE was carried out for a geometry-optimized TbThU2P4 structure.

a b c (Å): 3.989 7.025 6.909
angles (deg): 70.88 90.00 90.00
Fractional coordinates of all 8 atoms:
Tb  0.500  0.500  0.000
Th  0.000  0.500  0.500
U  0.000  0.000  0.000
U  0.500  0.000  0.500
P  0.000  0.760  0.751
P  0.000  0.240  0.249
P  0.500  0.762  0.242
P  0.500  0.238  0.758

Output
Uncorrected energy in eV/atom: -8.30
Calculated formation energy in eV/atom: -1.266

=====

A plane-wave DFT calculation with PBE was carried out for a geometry-optimized Tb2Ho2Se2S3 structure.

a b c (Å): 5.330 5.330 8.223
angles (deg): 108.91 108.91 90.00
Fractional coordinates of all 9 atoms:
Tb  0.202  0.202  0.404
Tb  0.798  0.798  0.596
Ho  0.500  0.000  0.000
Ho  0.000  0.500  0.000
Se  0.603  0.603  0.206
Se  0.397  0.397  0.794
S  0.000  0.000  0.000
S  0.250  0.750  0.500
S  0.750  0.250  0.500

Output
Formation energy without anion corrections in eV per atom: -1.683
Uncorrected energy in eV/atom: -5.88

=====

A plane-wave DFT calculation with PBE was carried out for a geometry-optimized AcDyErAg structure.

a b c (Å): 5.546 5.546 5.546
angles (deg): 60.00 60.00 60.00
Fractional coordinates of all 4 atoms:
Ac  0.250  0.250  0.250
Dy  0.500  0.500  0.500
Ag  0.750  0.750  0.750
Er  0.000  0.000  0.000

Output
Uncorrected energy in eV/atom: -3.85
Calculated formation energy in eV/atom: 0.185

=====

A plane-wave DFT calculation with PBE was carried out for a geometry-optimized La2GaPd5 structure.

a b c (Å): 6.122 6.122 6.122
angles (deg): 93.30 118.11 118.11
Fractional coordinates of all 8 atoms:
La  0.500  0.246  0.746
La  0.500  0.746  0.246
Ga  0.000  0.959  0.959
Pd  0.445  0.725  0.725
Pd  0.000  0.725  0.279
Pd  0.000  0.279  0.725
Pd  0.555  0.279  0.279
Pd  0.000  0.262  0.262

Output
Uncorrected energy in eV/atom: -5.62
Calculated formation energy in eV/atom: -0.763

=====

A plane-wave DFT calculation with PBE was carried out for a geometry-optimized Tb12Rh6Au structure.

a b c (Å): 8.532 8.532 8.532
angles (deg): 109.47 109.47 109.47
Fractional coordinates of all 19 atoms:
Tb  0.299  0.112  0.812
Tb  0.299  0.487  0.188
Tb  0.701  0.513  0.812
Tb  0.701  0.888  0.188
Tb  0.112  0.812  0.299
Tb  0.487  0.188  0.299
Tb  0.513  0.812  0.701
Tb  0.888  0.188  0.701
Tb  0.812  0.299  0.112
Tb  0.188  0.299  0.487
Tb  0.812  0.701  0.513
Tb  0.188  0.701  0.888
Rh  0.367  0.500  0.867
Rh  0.633  0.500  0.133
Rh  0.500  0.867  0.367
Rh  0.500  0.133  0.633
Rh  0.867  0.367  0.500
Rh  0.133  0.633  0.500
Au  0.000  0.000  0.000

Output
Uncorrected energy in eV/atom: -6.02
Calculated formation energy in eV/atom: -0.602

=====

A plane-wave DFT calculation with PBE was carried out for a geometry-optimized Ce2Te4Au structure.

a b c (Å): 5.038 6.435 6.435
angles (deg): 102.49 90.00 90.00
Fractional coordinates of all 7 atoms:
Ce  0.000  0.740  0.260
Ce  0.000  0.260  0.740
Te  0.000  0.761  0.761
Te  0.000  0.239  0.239
Te  0.500  0.000  0.500
Te  0.500  0.500  0.000
Au  0.500  0.500  0.500

Output
Formation energy without anion corrections in eV per atom: -0.870
Uncorrected energy in eV/atom: -4.83